Record 1
# SiSn | Alexandria | PBE | relaxed
data_SiSn
_cell_length_a 5.636
_cell_length_b 5.636
_cell_length_c 5.636
_cell_angle_alpha 90.00
_cell_angle_beta 90.00
_cell_angle_gamma 90.00
_symmetry_space_group_name_H-M 'P 1'
_symmetry_Int_Tables_number 1
loop_
_symmetry_equiv_pos_as_xyz
'x,y,z'
loop_
_atom_site_label
_atom_site_type_symbol
_atom_site_fract_x
_atom_site_fract_y
_atom_site_fract_z
_atom_site_occupancy
Si1 Si 0.000 0.000 0.000 1
Si2 Si 0.000 0.500 0.500 1
Si3 Si 0.500 0.000 0.500 1
Si4 Si 0.500 0.500 0.000 1
Sn1 Sn 0.500 0.500 0.500 1
Sn2 Sn 0.500 0.000 0.000 1
Sn3 Sn 0.000 0.500 0.000 1
Sn4 Sn 0.000 0.000 0.500 1
# - Space-group type: Fm-3m (225)
# - Magnetization: 0.00 μB/cell
# - Energy relative to the elements, uncorrected: 0.31 eV/atom
# - DOS at the Fermi energy: 0.249 states/eV per atom

=====

Record 2
# Re2SO | Alexandria | PBE | relaxed
data_Re2SO
_cell_length_a 5.122
_cell_length_b 5.122
_cell_length_c 5.832
_cell_angle_alpha 63.95
_cell_angle_beta 63.95
_cell_angle_gamma 90.00
_symmetry_space_group_name_H-M 'P 1'
_symmetry_Int_Tables_number 1
loop_
_symmetry_equiv_pos_as_xyz
'x,y,z'
loop_
_atom_site_label
_atom_site_type_symbol
_atom_site_fract_x
_atom_site_fract_y
_atom_site_fract_z
_atom_site_occupancy
Re1 Re 0.586 0.125 0.250 1
Re2 Re 0.164 0.625 0.250 1
Re3 Re 0.375 0.414 0.750 1
Re4 Re 0.875 0.836 0.750 1
S1 S 0.000 0.000 0.000 1
S2 S 0.750 0.250 0.500 1
O1 O 0.500 0.500 0.000 1
O2 O 0.250 0.750 0.500 1
# - Space-group type: I-42d (122)
# - Magnetization: 0.00 μB/cell
# - Polymorph energy (0 for the lowest one): 0.00 eV per formula unit
# - Energy relative to the elements, uncorrected: 0.33 eV/atom
# - DOS at the Fermi energy: 0.677 states/eV per atom

=====

Record 3
# LiCeHo | Alexandria | PBE | relaxed
data_LiCeHo
_cell_length_a 3.821
_cell_length_b 3.821
_cell_length_c 11.543
_cell_angle_alpha 90.00
_cell_angle_beta 90.00
_cell_angle_gamma 90.00
_symmetry_space_group_name_H-M 'P 1'
_symmetry_Int_Tables_number 1
loop_
_symmetry_equiv_pos_as_xyz
'x,y,z'
loop_
_atom_site_label
_atom_site_type_symbol
_atom_site_fract_x
_atom_site_fract_y
_atom_site_fract_z
_atom_site_occupancy
Ho1 Ho 0.500 0.000 0.270 1
Ho2 Ho 0.000 0.500 0.730 1
Li1 Li 0.500 0.000 0.553 1
Li2 Li 0.000 0.500 0.447 1
Ce1 Ce 0.500 0.500 0.000 1
Ce2 Ce 0.000 0.000 0.000 1
# - Space-group type: P4/nmm (129)
# - Magnetization: 0.54 μB/cell
# - Polymorph energy (0 for the lowest one): 0.76 eV per formula unit
# - DOS at the Fermi energy: 2.024 states/eV per atom
# - Formation energy: 0.408 eV per atom

=====

Record 4
# Mg3SiO4 | Alexandria | PBE | relaxed
data_Mg3SiO4
_cell_length_a 4.366
_cell_length_b 4.366
_cell_length_c 4.366
_cell_angle_alpha 90.00
_cell_angle_beta 90.00
_cell_angle_gamma 90.00
_symmetry_space_group_name_H-M 'P 1'
_symmetry_Int_Tables_number 1
loop_
_symmetry_equiv_pos_as_xyz
'x,y,z'
loop_
_atom_site_label
_atom_site_type_symbol
_atom_site_fract_x
_atom_site_fract_y
_atom_site_fract_z
_atom_site_occupancy
Mg1 Mg 0.000 0.500 0.500 1
Mg2 Mg 0.500 0.000 0.500 1
Mg3 Mg 0.500 0.500 0.000 1
Si1 Si 0.000 0.000 0.000 1
O1 O 0.500 0.000 0.000 1
O2 O 0.500 0.500 0.500 1
O3 O 0.000 0.000 0.500 1
O4 O 0.000 0.500 0.000 1
# - Space-group type: Pm-3m (221)
# - Magnetization: 0.00 μB/cell
# - Energy relative to the elements, uncorrected: -2.08 eV/atom

=====

Record 5
# Cs2YP | Alexandria | PBE | relaxed
data_Cs2YP
_cell_length_a 6.104
_cell_length_b 6.104
_cell_length_c 6.104
_cell_angle_alpha 60.00
_cell_angle_beta 60.00
_cell_angle_gamma 60.00
_symmetry_space_group_name_H-M 'P 1'
_symmetry_Int_Tables_number 1
loop_
_symmetry_equiv_pos_as_xyz
'x,y,z'
loop_
_atom_site_label
_atom_site_type_symbol
_atom_site_fract_x
_atom_site_fract_y
_atom_site_fract_z
_atom_site_occupancy
Cs1 Cs 0.250 0.250 0.250 1
Cs2 Cs 0.750 0.750 0.750 1
Y1 Y 0.500 0.500 0.500 1
P1 P 0.000 0.000 0.000 1
# - Space-group type: Fm-3m (225)
# - Magnetization: 0.00 μB/cell
# - Polymorph energy (0 for the lowest one): 3.40 eV per formula unit
# - DOS at the Fermi energy: 1.127 states/eV per atom
# - Formation energy: 0.737 eV per atom

=====

Record 6
# Ba12TlAu6 | Alexandria | PBE | relaxed
data_Ba12TlAu6
_cell_length_a 10.154
_cell_length_b 10.154
_cell_length_c 10.154
_cell_angle_alpha 109.47
_cell_angle_beta 109.47
_cell_angle_gamma 109.47
_symmetry_space_group_name_H-M 'P 1'
_symmetry_Int_Tables_number 1
loop_
_symmetry_equiv_pos_as_xyz
'x,y,z'
loop_
_atom_site_label
_atom_site_type_symbol
_atom_site_fract_x
_atom_site_fract_y
_atom_site_fract_z
_atom_site_occupancy
Ba1 Ba 0.303 0.125 0.822 1
Ba2 Ba 0.303 0.481 0.178 1
Ba3 Ba 0.697 0.519 0.822 1
Ba4 Ba 0.697 0.875 0.178 1
Ba5 Ba 0.125 0.822 0.303 1
Ba6 Ba 0.481 0.178 0.303 1
Ba7 Ba 0.519 0.822 0.697 1
Ba8 Ba 0.875 0.178 0.697 1
Ba9 Ba 0.822 0.303 0.125 1
Ba10 Ba 0.178 0.303 0.481 1
Ba11 Ba 0.822 0.697 0.519 1
Ba12 Ba 0.178 0.697 0.875 1
Tl1 Tl 0.000 0.000 0.000 1
Au1 Au 0.374 0.500 0.874 1
Au2 Au 0.626 0.500 0.126 1
Au3 Au 0.500 0.874 0.374 1
Au4 Au 0.500 0.126 0.626 1
Au5 Au 0.874 0.374 0.500 1
Au6 Au 0.126 0.626 0.500 1
# - Space-group type: Im-3 (204)
# - Magnetization: 0.01 μB/cell
# - DOS at the Fermi energy: 1.246 states/eV per atom
# - Formation energy: -0.491 eV per atom

=====

Record 7
# Pm3Nd4Th | Alexandria | PBE | relaxed
data_Pm3Nd4Th
_cell_length_a 3.513
_cell_length_b 6.973
_cell_length_c 12.045
_cell_angle_alpha 106.78
_cell_angle_beta 98.39
_cell_angle_gamma 90.00
_symmetry_space_group_name_H-M 'P 1'
_symmetry_Int_Tables_number 1
loop_
_symmetry_equiv_pos_as_xyz
'x,y,z'
loop_
_atom_site_label
_atom_site_type_symbol
_atom_site_fract_x
_atom_site_fract_y
_atom_site_fract_z
_atom_site_occupancy
Nd1 Nd 0.743 0.241 0.485 1
Nd2 Nd 0.257 0.759 0.515 1
Nd3 Nd 0.122 0.360 0.244 1
Nd4 Nd 0.878 0.640 0.756 1
Th1 Th 0.500 0.000 0.000 1
Pm1 Pm 0.000 0.500 0.000 1
Pm2 Pm 0.122 0.885 0.244 1
Pm3 Pm 0.878 0.115 0.756 1
# - Space-group type: C2/m (12)
# - Magnetization: 0.00 μB/cell
# - Polymorph energy (0 for the lowest one): 1.03 eV per formula unit
# - DOS at the Fermi energy: 1.625 states/eV per atom
# - Formation energy: 0.157 eV per atom

=====

Record 8
# In3GeTe4 | Alexandria | PBE | relaxed
data_In3GeTe4
_cell_length_a 6.217
_cell_length_b 10.111
_cell_length_c 9.178
_cell_angle_alpha 90.00
_cell_angle_beta 90.00
_cell_angle_gamma 90.00
_symmetry_space_group_name_H-M 'P 1'
_symmetry_Int_Tables_number 1
loop_
_symmetry_equiv_pos_as_xyz
'x,y,z'
loop_
_atom_site_label
_atom_site_type_symbol
_atom_site_fract_x
_atom_site_fract_y
_atom_site_fract_z
_atom_site_occupancy
In1 In 0.564 0.834 0.000 1
In2 In 0.060 0.661 0.248 1
In3 In 0.560 0.339 0.252 1
In4 In 0.064 0.166 0.500 1
In5 In 0.560 0.339 0.748 1
In6 In 0.060 0.661 0.752 1
Ge1 Ge 0.045 0.169 0.000 1
Ge2 Ge 0.545 0.831 0.500 1
Te1 Te 0.066 0.853 0.000 1
Te2 Te 0.592 0.149 0.000 1
Te3 Te 0.064 0.356 0.233 1
Te4 Te 0.564 0.644 0.267 1
Te5 Te 0.092 0.851 0.500 1
Te6 Te 0.566 0.147 0.500 1
Te7 Te 0.564 0.644 0.733 1
Te8 Te 0.064 0.356 0.767 1
# - Space-group type: Pmn2_1 (31)
# - Magnetization: 0.00 μB/cell
# - Energy relative to the elements, uncorrected: -0.16 eV/atom
# - DOS at the Fermi energy: 0.321 states/eV per atom

=====

no.,theoretical density (g cm⁻³)
1,5.45
2,11.64
3,6.15
4,3.29
5,3.98
6,6.25
7,7.40
8,5.34